# Pm5Pr6Cd, optimized geometry, DFT GGA-PBE
# Energy of formation in eV/f.u.: -0.21
# Total magnetization in μB per formula unit: 0.00
# D(E_F) in states/eV/cell: 32.59
data_Pm5Pr6Cd
_chemical_formula_sum 'Pm10 Pr12 Cd2'
_space_group_name_H-M_alt 'I m m m'
_space_group_IT_number 71
_space_group_name_Hall '-I 2 2'
_cell_length_a 5.157
_cell_length_b 10.219
_cell_length_c 15.522
_cell_angle_alpha 90.00
_cell_angle_beta 90.00
_cell_angle_gamma 90.00
loop_
_atom_site_label
_atom_site_type_symbol
_atom_site_fract_x
_atom_site_fract_y
_atom_site_fract_z
Pm1 Pm 0.000 0.000 0.000
Pm2 Pm 0.000 0.000 0.330
Pm3 Pm 0.000 0.500 0.336
Pr1 Pr 0.000 0.244 0.500
Pr2 Pr 0.000 0.256 0.164
Cd1 Cd 0.000 0.500 0.000

# PmPrCd4, optimized geometry, DFT GGA-PBE
# E above lowest polymorph in kJ per mole of atoms: 4.2
# Energy of formation in eV/f.u.: -1.83
# Total magnetization in μB per formula unit: 0.00
# D(E_F) in states/eV/cell: 11.99
data_PmPrCd4
_chemical_formula_sum 'Pm4 Pr4 Cd16'
_space_group_name_H-M_alt 'F -4 3 m'
_space_group_IT_number 216
_space_group_name_Hall 'F -4 2 3'
_cell_length_a 8.494
_cell_length_b 8.494
_cell_length_c 8.494
_cell_angle_alpha 90.00
_cell_angle_beta 90.00
_cell_angle_gamma 90.00
loop_
_atom_site_label
_atom_site_type_symbol
_atom_site_fract_x
_atom_site_fract_y
_atom_site_fract_z
Pm1 Pm 0.000 0.000 0.000
Pr1 Pr 0.250 0.250 0.750
Cd1 Cd 0.125 0.125 0.375

Please write out number 1 again, unchanged.
# Pm5Pr6Cd, optimized geometry, DFT GGA-PBE
# Energy of formation in eV/f.u.: -0.21
# Total magnetization in μB per formula unit: 0.00
# D(E_F) in states/eV/cell: 32.59
data_Pm5Pr6Cd
_chemical_formula_sum 'Pm10 Pr12 Cd2'
_space_group_name_H-M_alt 'I m m m'
_space_group_IT_number 71
_space_group_name_Hall '-I 2 2'
_cell_length_a 5.157
_cell_length_b 10.219
_cell_length_c 15.522
_cell_angle_alpha 90.00
_cell_angle_beta 90.00
_cell_angle_gamma 90.00
loop_
_atom_site_label
_atom_site_type_symbol
_atom_site_fract_x
_atom_site_fract_y
_atom_site_fract_z
Pm1 Pm 0.000 0.000 0.000
Pm2 Pm 0.000 0.000 0.330
Pm3 Pm 0.000 0.500 0.336
Pr1 Pr 0.000 0.244 0.500
Pr2 Pr 0.000 0.256 0.164
Cd1 Cd 0.000 0.500 0.000

What is the total magnetization in the second record? 0.00 μB per formula unit

Among the records above, which one has the highest energy of formation? Pm5Pr6Cd

Look up the D(E_F) of the first one. 32.59 states/eV/cell